(1)
A plane-wave DFT calculation with PBEsol was carried out for a relaxed structure of Os2W.

symmetry = I4_1/amd, No. 141
electronic total energy = -152.63 eV for the cell shown
ΔH_f (0 K) = 0.03 eV per atom

Cell: 12.049 12.049 12.049 Å, 161.58 161.58 26.17°
Atoms (fractional coordinates):
Os: 0.124 0.374 0.750
Os: 0.293 0.543 0.750
Os: 0.374 0.124 0.250
Os: 0.457 0.707 0.750
Os: 0.543 0.293 0.250
Os: 0.626 0.876 0.750
Os: 0.707 0.457 0.250
Os: 0.876 0.626 0.250
W: 0.045 0.795 0.250
W: 0.205 0.955 0.250
W: 0.795 0.045 0.750
W: 0.955 0.205 0.750

(2)
A plane-wave DFT calculation with PBEsol was carried out for a relaxed structure of KGeC3.

symmetry = Pm-3m, No. 221
electronic total energy = -22.99 eV for the cell shown
ΔH_f (0 K) = 2.40 eV per atom

Cell: 4.075 4.075 4.075 Å, 90.00 90.00 90.00°
Atoms (fractional coordinates):
K: 0.000 0.000 0.000
Ge: 0.500 0.500 0.500
C: 0.000 0.500 0.500
C: 0.500 0.000 0.500
C: 0.500 0.500 0.000

(3)
A plane-wave DFT calculation with PBEsol was carried out for a relaxed structure of Li2ReOs.

symmetry = P4/mmm, No. 123
electronic total energy = -26.47 eV for the cell shown
ΔH_f (0 K) = 0.75 eV per atom

Cell: 3.155 3.155 4.948 Å, 90.00 90.00 90.00°
Atoms (fractional coordinates):
Li: 0.000 0.000 0.240
Li: 0.000 0.000 0.760
Re: 0.500 0.500 0.500
Os: 0.500 0.500 0.000

(4)
A plane-wave DFT calculation with PBEsol was carried out for a relaxed structure of CaPbSeBr2.

symmetry = P4/mmm, No. 123
electronic total energy = -17.14 eV for the cell shown
raw formation energy = -3.4 eV/f.u.

Cell: 5.568 5.568 5.747 Å, 90.00 90.00 90.00°
Atoms (fractional coordinates):
Ca: 0.000 0.000 0.000
Pb: 0.500 0.500 0.500
Se: 0.500 0.500 0.000
Br: 0.000 0.500 0.500
Br: 0.500 0.000 0.500

(5)
A plane-wave DFT calculation with PBEsol was carried out for a relaxed structure of HfSb2.

symmetry = P4/nmm, No. 129
electronic total energy = -41.66 eV for the cell shown
raw formation energy = -1.2 eV/f.u.

Cell: 4.087 4.087 8.441 Å, 90.00 90.00 90.00°
Atoms (fractional coordinates):
Hf: 0.250 0.250 0.236
Hf: 0.750 0.750 0.764
Sb: 0.250 0.250 0.883
Sb: 0.250 0.750 0.500
Sb: 0.750 0.250 0.500
Sb: 0.750 0.750 0.117

(6)
A plane-wave DFT calculation with PBEsol was carried out for a relaxed structure of BeTl2P.

symmetry = C2/m, No. 12
electronic total energy = -24.87 eV for the cell shown
ΔH_f (0 K) = 0.65 eV per atom

Cell: 5.933 7.387 3.957 Å, 90.00 107.53 90.00°
Atoms (fractional coordinates):
Be: 0.000 0.000 0.000
Be: 0.500 0.500 0.000
Tl: 0.250 0.250 0.500
Tl: 0.250 0.750 0.500
Tl: 0.750 0.250 0.500
Tl: 0.750 0.750 0.500
P: 0.000 0.500 0.000
P: 0.500 0.000 0.000